Entry 1:
## LiSc2Ta (PBE)

Data for a relaxed LiSc2Ta crystal.

Properties
**Formation enthalpy at 0 K**: 31.2 kJ/mol of atoms
**DFT total energy**: -25.14 eV for the cell shown
**ρ**: 5.58 g/cm3

Lattice parameters (Å, degrees): 5.2018 5.2018 5.6924 78.52 78.52 33.27
Atoms (fractional coordinates):
Li 0.7500 0.7500 0.7500
Ta 0.2500 0.2500 0.2500
Sc 0.5014 0.5014 0.4860
Sc 0.9986 0.9986 0.0140


Entry 2:
## NaTc2BiMo (PBE)

Data for a relaxed NaTc2BiMo crystal.

Properties
**Formation enthalpy at 0 K**: 233.6 kJ/mol of atoms
**DFT total energy**: -24.66 eV for the cell shown
**ρ**: 8.42 g/cm3

Lattice parameters (Å, degrees): 4.5965 4.8907 4.5965 90.00 90.00 90.00
Last column: magnetic moment on the atom in μB.
Atoms (fractional coordinates):
Mo 0.5000 0.5000 0.5000  1.82
Na 0.0000 0.0000 0.0000  0.04
Tc 0.5000 0.0000 0.0000  1.76
Tc 0.0000 0.0000 0.5000  1.54
Bi 0.0000 0.5000 0.0000  -0.11


Entry 3:
## CuBiSe2N (PBE)

Data for a relaxed CuBiSe2N crystal.

Properties
**Energy relative to the elements, uncorrected**: 0.576 eV/atom
**DFT total energy**: -20.39 eV for the cell shown
**ρ**: 7.61 g/cm3

Lattice parameters (Å, degrees): 5.0914 5.0914 3.7425 90.00 90.00 90.00
Last column: magnetic moment on the atom in μB.
Atoms (fractional coordinates):
N 0.0000 0.0000 0.5000  0.96
Bi 0.5000 0.5000 0.5000  -0.02
Cu 0.0000 0.0000 0.0000  0.19
Se 0.0000 0.5000 0.0000  0.08
Se 0.5000 0.0000 0.0000  0.08


Entry 4:
## SrAcPmNd (PBE)

Data for a relaxed SrAcPmNd crystal.

Properties
**Formation enthalpy at 0 K**: 18.8 kJ/mol of atoms
**DFT total energy**: -14.53 eV for the cell shown
**ρ**: 6.12 g/cm3

Lattice parameters (Å, degrees): 6.1436 6.1436 6.1436 60.00 60.00 60.00
Last column: magnetic moment on the atom in μB.
Atoms (fractional coordinates):
Nd 0.7500 0.7500 0.7500  0.18
Sr 0.2500 0.2500 0.2500  0.02
Ac 0.5000 0.5000 0.5000  0.07
Pm 0.0000 0.0000 0.0000  0.18